AcLaPm2As4 (PBE-GGA, optimized geometry); E_tot = -6.15 eV/atom; crystal system = monoclinic; ΔE_f = -1.5121 eV per atom; DOS at the Fermi energy = 0.677 states/eV/f.u.
1.0
4.3529 0.0000 0.0000
0.0000 7.5416 -0.1537
0.0000 2.6487 7.0541
La As Ac Pm
1 4 1 2
direct
0.0000 0.5000 0.5000 La
0.5000 0.7594 0.2512 As
0.0000 0.2372 0.2587 As
0.0000 0.7628 0.7413 As
0.5000 0.2406 0.7488 As
0.5000 0.5000 0.0000 Ac
0.5000 0.0000 0.5000 Pm
0.0000 0.0000 0.0000 Pm